(1)
CsCd2AgRh | Alexandria | PBE-GGA | relaxed; total magnetization = 0.00 μB/f.u.; calculated total energy = -2.48 eV/atom; mass density = 6.20 g/cm3; volume = 30.47 Å³ per atom
1.0
-0.902 -4.917 1.737
5.198 -0.986 -0.093
0.421 1.738 5.138
Cs Rh Ag Cd
1 1 1 2
direct
0.500 0.500 0.500
0.000 0.000 0.000
0.000 0.000 0.500
0.000 0.500 0.000
0.500 0.000 0.000

---

(2)
Sc2HgSe | Alexandria | PBE-GGA | relaxed; total magnetization = 0.11 μB/f.u.; calculated total energy = -4.92 eV/atom; mass density = 6.76 g/cm3; E_form (uncorrected) = -77 kJ per mole of atoms; volume = 22.70 Å³ per atom
1.0
7.809 0.014 -0.008
6.231 4.708 0.008
-7.001 -2.417 2.475
Hg Sc Se
1 2 1
direct
0.301 0.801 0.500
0.965 0.965 0.000
0.689 0.189 0.500
0.545 0.545 0.000

---

(3)
SiNi2Te | Alexandria | PBE-GGA | relaxed; total magnetization = 0.00 μB/f.u.; calculated total energy = -4.85 eV/atom; mass density = 7.54 g/cm3; E_form (uncorrected) = 18 kJ per mole of atoms; volume = 15.04 Å³ per atom
1.0
0.000 3.110 3.110
3.110 0.000 3.110
3.110 3.110 0.000
Ni Si Te
2 1 1
direct
0.250 0.250 0.250
0.750 0.750 0.750
0.000 0.000 0.000
0.500 0.500 0.500

---

(4)
PmSmIrO6 | Alexandria | PBE-GGA | relaxed; total magnetization = 2.93 μB/f.u.; calculated total energy = -7.48 eV/atom; mass density = 7.28 g/cm3; E_form (uncorrected) = -206 kJ per mole of atoms; volume = 14.78 Å³ per atom
1.0
-5.102 -2.136 -0.989
2.196 -0.247 5.166
-4.016 8.609 2.118
Pm Sm Ir O
2 2 2 12
direct
0.000 0.000 0.000
0.000 0.000 0.500
0.333 0.667 0.250
0.667 0.333 0.750
0.667 0.333 0.250
0.333 0.667 0.750
0.674 0.625 0.136
0.951 0.326 0.136
0.326 0.951 0.636
0.049 0.674 0.864
0.375 0.326 0.364
0.951 0.625 0.364
0.625 0.951 0.864
0.674 0.049 0.364
0.049 0.375 0.636
0.375 0.049 0.136
0.625 0.674 0.636
0.326 0.375 0.864

---

(5)
CaSi2As | Alexandria | PBE-GGA | relaxed; total magnetization = 0.00 μB/f.u.; calculated total energy = -4.40 eV/atom; mass density = 3.47 g/cm3; E_form (uncorrected) = -3 kJ per mole of atoms; volume = 20.47 Å³ per atom
1.0
-0.544 -4.270 -3.283
-0.308 -4.427 3.101
-2.536 4.663 -1.067
As Ca Si
1 1 2
direct
0.546 0.546 0.000
0.247 0.747 0.500
0.954 0.954 0.000
0.753 0.253 0.500

---

(6)
MnCrSe | Alexandria | PBE-GGA | relaxed; total magnetization = 0.63 μB/f.u.; calculated total energy = -7.28 eV/atom; mass density = 6.53 g/cm3; E_form (uncorrected) = 14 kJ per mole of atoms; volume = 15.75 Å³ per atom
1.0
4.070 0.000 0.000
-2.035 3.525 0.000
0.000 0.000 3.294
Cr Mn Se
1 1 1
direct
0.000 0.000 0.000
0.667 0.333 0.501
0.333 0.667 0.499

---

(7)
MgSc2FeC | Alexandria | PBE-GGA | relaxed; total magnetization = 0.00 μB/f.u.; calculated total energy = -6.68 eV/atom; mass density = 3.79 g/cm3; volume = 15.94 Å³ per atom
1.0
-3.805 -2.151 1.566
-1.382 -0.737 -4.370
1.811 -3.225 -0.029
Sc C Mg Fe
2 1 1 1
direct
0.000 0.500 0.000
0.500 0.000 0.000
0.000 0.000 0.000
0.500 0.500 0.500
0.000 0.000 0.500

---

(8)
PuGeRh | Alexandria | PBE-GGA | relaxed; total magnetization = 4.87 μB/f.u.; calculated total energy = -9.34 eV/atom; mass density = 11.65 g/cm3; volume = 19.94 Å³ per atom
1.0
-2.011 -2.140 2.210
3.259 -0.113 2.856
-3.011 3.108 0.268
Ge Rh Pu
1 1 1
direct
0.167 0.000 0.000
0.167 0.333 0.667
0.667 0.667 0.333

---

(9)
Sr2ScTa | Alexandria | PBE-GGA | relaxed; total magnetization = 2.42 μB/f.u.; calculated total energy = -4.18 eV/atom; mass density = 5.17 g/cm3; volume = 32.23 Å³ per atom
1.0
-5.823 6.681 -1.753
0.937 -1.507 -8.858
-4.836 0.527 -5.208
Sc Sr Ta
2 4 2
direct
0.500 0.500 0.000
0.250 0.750 0.500
0.639 0.125 0.250
0.111 0.625 0.250
0.375 0.361 0.750
0.875 0.889 0.750
0.000 0.000 0.000
0.750 0.250 0.500

---

(10)
LiYBe2 | Alexandria | PBE-GGA | relaxed; total magnetization = 0.00 μB/f.u.; calculated total energy = -3.58 eV/atom; mass density = 2.72 g/cm3; volume = 17.36 Å³ per atom
1.0
-0.250 -4.645 0.383
3.627 -0.422 -2.908
1.999 0.097 2.479
Be Li Y
2 1 1
direct
0.000 0.000 0.000
0.500 0.500 0.000
0.500 0.000 0.500
0.000 0.500 0.500

---

(11)
BaCuTe2N | Alexandria | PBE-GGA | relaxed; total magnetization = 1.44 μB/f.u.; calculated total energy = -4.07 eV/atom; mass density = 6.02 g/cm3; E_form (uncorrected) = 5 kJ per mole of atoms; volume = 25.93 Å³ per atom
1.0
5.890 0.000 0.000
0.000 5.890 0.000
0.000 0.000 3.737
Te Ba Cu N
2 1 1 1
direct
0.000 0.500 0.000
0.500 0.000 0.000
0.500 0.500 0.500
0.000 0.000 0.000
0.000 0.000 0.500

---

(12)
Ca2NpSb3Pt4 | Alexandria | PBE-GGA | relaxed; total magnetization = 4.00 μB/f.u.; calculated total energy = -6.03 eV/atom; mass density = 10.30 g/cm3; E_form (uncorrected) = -65 kJ per mole of atoms; volume = 23.59 Å³ per atom
1.0
-4.496 -0.601 -0.120
0.562 -3.684 -2.590
0.621 -6.516 9.403
Ca Np Sb Pt
2 1 3 4
direct
0.500 0.000 0.218
0.000 0.500 0.782
0.500 0.500 0.500
0.000 0.000 0.500
0.500 0.000 0.873
0.000 0.500 0.127
0.500 0.500 0.000
0.000 0.000 0.000
0.500 0.000 0.646
0.000 0.500 0.354

---

(13)
BaCo2Ni | Alexandria | PBE-GGA | relaxed; total magnetization = 3.68 μB/f.u.; calculated total energy = -5.01 eV/atom; mass density = 5.83 g/cm3; volume = 22.36 Å³ per atom
1.0
-2.857 -1.206 3.573
3.405 -2.751 1.794
3.013 4.198 6.958
Ni Co Ba
2 4 2
direct
0.500 0.500 0.000
0.250 0.750 0.500
0.375 0.125 0.250
0.375 0.625 0.250
0.375 0.625 0.750
0.875 0.625 0.750
0.000 0.000 0.000
0.750 0.250 0.500

---

(14)
ThTlS2 | Alexandria | PBE-GGA | relaxed; total magnetization = 0.00 μB/f.u.; calculated total energy = -5.80 eV/atom; mass density = 7.03 g/cm3; E_form (uncorrected) = -125 kJ per mole of atoms; volume = 29.55 Å³ per atom
1.0
4.059 0.000 0.000
2.030 3.515 0.000
2.030 1.172 8.283
Th Tl S
1 1 2
direct
0.666 0.666 0.001
0.502 0.502 0.494
0.063 0.063 0.812
0.269 0.269 0.193

---

(15)
LaNd2Ge | Alexandria | PBE-GGA | relaxed; total magnetization = 0.00 μB/f.u.; calculated total energy = -5.10 eV/atom; mass density = 7.06 g/cm3; volume = 29.42 Å³ per atom
1.0
3.969 0.000 0.000
0.000 3.969 0.000
0.000 0.000 7.470
Ge Nd La
1 2 1
direct
0.500 0.500 0.000
0.000 0.000 0.800
0.000 0.000 0.200
0.500 0.500 0.500

---

(16)
DyRuPbO6 | Alexandria | PBE-GGA | relaxed; total magnetization = 0.72 μB/f.u.; calculated total energy = -6.79 eV/atom; mass density = 7.23 g/cm3; E_form (uncorrected) = -148 kJ per mole of atoms; volume = 14.46 Å³ per atom
1.0
5.558 0.000 0.000
2.779 4.813 0.000
0.000 0.000 4.866
Dy Ru Pb O
1 1 1 6
direct
0.667 0.667 0.500
0.333 0.333 0.500
0.000 0.000 0.000
0.040 0.347 0.274
0.347 0.040 0.726
0.613 0.347 0.726
0.040 0.613 0.726
0.347 0.613 0.274
0.613 0.040 0.274

---

(17)
MnAg2PtC | Alexandria | PBE-GGA | relaxed; total magnetization = 3.10 μB/f.u.; calculated total energy = -4.04 eV/atom; mass density = 6.20 g/cm3; volume = 25.61 Å³ per atom
1.0
-3.461 -3.797 -0.072
2.508 -2.350 3.422
-2.714 2.404 3.640
C Mn Ag Pt
1 1 2 1
direct
0.500 0.500 0.500
0.000 0.500 0.000
0.000 0.000 0.500
0.500 0.000 0.000
0.000 0.000 0.000

---

(18)
ZnHN | Alexandria | PBE-GGA | relaxed; total magnetization = 0.00 μB/f.u.; calculated total energy = -4.30 eV/atom; mass density = 3.74 g/cm3; volume = 11.89 Å³ per atom
1.0
-1.329 -4.970 1.611
3.971 0.344 4.335
-3.128 1.721 2.728
H Zn N
4 4 4
direct
0.637 0.250 0.969
0.863 0.750 0.469
0.363 0.750 0.031
0.137 0.250 0.531
0.000 0.000 0.000
0.500 0.500 0.500
0.500 0.000 0.500
0.000 0.500 0.000
0.299 0.250 0.411
0.201 0.750 0.911
0.701 0.750 0.589
0.799 0.250 0.089

---

(19)
HfScGa3 | Alexandria | PBE-GGA | relaxed; total magnetization = 0.00 μB/f.u.; calculated total energy = -4.70 eV/atom; mass density = 5.62 g/cm3; volume = 25.56 Å³ per atom
1.0
5.037 0.000 0.000
0.000 5.037 0.000
0.000 0.000 5.037
Sc Hf Ga
1 1 3
direct
0.500 0.500 0.500
0.000 0.000 0.000
0.000 0.500 0.000
0.000 0.000 0.500
0.500 0.000 0.000

---

(20)
CeZrH4 | Alexandria | PBE-GGA | relaxed; total magnetization = 0.78 μB/f.u.; calculated total energy = -5.19 eV/atom; mass density = 5.93 g/cm3; volume = 10.98 Å³ per atom
1.0
-1.452 -1.338 -2.859
1.192 -3.147 0.867
-4.590 -0.970 2.784
Ce Zr H
1 1 4
direct
0.501 0.497 0.998
0.001 0.997 0.498
0.501 0.997 0.285
0.501 0.997 0.711
0.001 0.497 0.711
0.001 0.497 0.285